(1)
LiCd4InAg2 | PBE | relaxed

Output
For the formation energy, the calculation gives 62 meV/atom. Its total magnetic moment is 0.00 Bohr magnetons per cell. Its space group is P4/mmm, No. 123.

Cell: 4.259 4.259 10.193 Å, 90.00 90.00 90.00°
Fractional positions:
Li (0.000, 0.000, 0.000)
Cd (0.000, 0.500, 0.175)
Cd (0.500, 0.000, 0.825)
Cd (0.500, 0.000, 0.175)
Cd (0.000, 0.500, 0.825)
In (0.000, 0.000, 0.500)
Ag (0.500, 0.500, 0.368)
Ag (0.500, 0.500, 0.632)

(2)
La5Nd6Sc2 | PBE | relaxed

Output
For the formation energy, the calculation gives 126 meV/atom. Its total magnetic moment is 0.00 Bohr magnetons per cell. Its space group is Pbam, No. 55.

Cell: 3.566 10.998 22.945 Å, 90.00 90.00 90.00°
Fractional positions:
La (0.500, 0.331, 0.496)
La (0.500, 0.669, 0.504)
La (0.500, 0.831, 0.004)
La (0.500, 0.169, 0.996)
La (0.500, 0.586, 0.252)
La (0.500, 0.414, 0.748)
La (0.500, 0.086, 0.248)
La (0.500, 0.914, 0.752)
La (0.500, 0.500, 0.000)
La (0.500, 0.000, 0.500)
Nd (0.000, 0.142, 0.382)
Nd (0.000, 0.858, 0.618)
Nd (0.000, 0.642, 0.118)
Nd (0.000, 0.358, 0.882)
Nd (0.500, 0.336, 0.140)
Nd (0.500, 0.664, 0.860)
Nd (0.500, 0.836, 0.360)
Nd (0.500, 0.164, 0.640)
Nd (0.000, 0.527, 0.386)
Nd (0.000, 0.473, 0.614)
Nd (0.000, 0.027, 0.114)
Nd (0.000, 0.973, 0.886)
Sc (0.000, 0.336, 0.270)
Sc (0.000, 0.664, 0.730)
Sc (0.000, 0.836, 0.230)
Sc (0.000, 0.164, 0.770)